[1]
This record from the Open Quantum Materials Database describes crystalline Hf9Re4B at its relaxed geometry. The functional is PBE-GGA.

Cell: 8.4397 8.4397 8.5304 Å, 90.00 90.00 120.00°
Space group P6_3/mmc (No. 194)
Asymmetric unit:
Hf: 0.0813 0.5406 0.2500
Hf: 0.2009 0.4017 0.5553
Re: 0.0000 0.0000 0.0000
Re: 0.1101 0.2203 0.2500
B: 0.3333 0.6667 0.7500

Computed properties:
Final energy, eV per atom: -10.765
Calculated density, g cm⁻³: 14.91

---

[2]
This record from the Open Quantum Materials Database describes crystalline Hf2ReB at its relaxed geometry. The functional is PBE-GGA.

Cell: 6.2759 6.2759 6.2759 Å, 90.00 90.00 90.00°
Space group F-43m (No. 216)
Asymmetric unit:
Hf: 0.0000 0.0000 0.0000
Hf: 0.2500 0.2500 0.2500
Re: 0.2500 0.2500 0.7500
B: 0.0000 0.0000 0.5000

Computed properties:
Final energy, eV per atom: -9.310
Calculated density, g cm⁻³: 14.89

---

[3]
This record from the Open Quantum Materials Database describes crystalline HfReB4 at its relaxed geometry. The functional is PBE-GGA.

Cell: 3.1162 3.1162 6.6124 Å, 90.00 90.00 120.00°
Space group P6/mmm (No. 191)
Asymmetric unit:
Hf: 0.0000 0.0000 0.0000
Re: 0.0000 0.0000 0.5000
B: 0.3333 0.6667 0.2560

Computed properties:
Calculated density, g cm⁻³: 12.18
Energy above the lowest structure with this stoichiometry, kJ/mol of formula units: 22

---

[4]
This record from the Open Quantum Materials Database describes crystalline HfRe2B2 at its relaxed geometry. The functional is PBE-GGA.

Cell: 3.6655 3.6655 9.4095 Å, 90.00 90.00 90.00°
Space group I4/mmm (No. 139)
Asymmetric unit:
Hf: 0.0000 0.0000 0.0000
Re: 0.0000 0.5000 0.2500
B: 0.0000 0.0000 0.4043

Computed properties:
Final energy, eV per atom: -9.914
Calculated density, g cm⁻³: 15.04

---

[5]
This record from the Open Quantum Materials Database describes crystalline Hf3B2S at its relaxed geometry. The functional is PBE-GGA.

Cell: 3.4547 3.4547 17.7231 Å, 90.00 90.00 120.00°
Space group P6_3/mmc (No. 194)
Asymmetric unit:
Hf: 0.0000 0.0000 0.0000
Hf: 0.3333 0.6667 0.1499
B: 0.3333 0.6667 0.5802
S: 0.0000 0.0000 0.2500

Computed properties:
Final energy, eV per atom: -8.865
Calculated density, g cm⁻³: 10.68

---

[6]
This record from the Open Quantum Materials Database describes crystalline HfBSb at its relaxed geometry. The functional is PBE-GGA.

Cell: 6.3821 6.3821 6.3821 Å, 90.00 90.00 90.00°
Space group F-43m (No. 216)
Asymmetric unit:
Hf: 0.0000 0.0000 0.0000
B: 0.2500 0.2500 0.7500
Sb: 0.2500 0.2500 0.2500

Computed properties:
Calculated density, g cm⁻³: 7.95
Energy above the lowest structure with this stoichiometry, kJ/mol of formula units: 98

---

[7]
This record from the Open Quantum Materials Database describes crystalline HfB4Sb at its relaxed geometry. The functional is PBE-GGA.

Cell: 3.1467 3.1467 7.9874 Å, 90.00 90.00 120.00°
Space group P6/mmm (No. 191)
Asymmetric unit:
Hf: 0.0000 0.0000 0.0000
B: 0.3333 0.6667 0.2134
Sb: 0.0000 0.0000 0.5000

Computed properties:
Calculated density, g cm⁻³: 8.33
Energy above the lowest structure with this stoichiometry, kJ/mol of formula units: 0

---

[8]
This record from the Open Quantum Materials Database describes crystalline HfB4Sb at its relaxed geometry. The functional is PBE-GGA.

Cell: 3.1045 5.4543 7.7820 Å, 90.00 90.00 90.00°
Space group Immm (No. 71)
Asymmetric unit:
Hf: 0.0000 0.0000 0.0000
B: 0.0000 0.3331 0.2529
Sb: 0.0000 0.0000 0.5000

Computed properties:
Calculated density, g cm⁻³: 8.66
Energy above the lowest structure with this stoichiometry, kJ/mol of formula units: 71

---

[9]
This record from the Open Quantum Materials Database describes crystalline HfBSb at its relaxed geometry. The functional is PBE-GGA.

Cell: 6.0463 6.0463 6.0463 Å, 90.00 90.00 90.00°
Space group F-43m (No. 216)
Asymmetric unit:
Hf: 0.0000 0.0000 0.0000
B: 0.2500 0.2500 0.2500
Sb: 0.0000 0.0000 0.5000

Computed properties:
Calculated density, g cm⁻³: 9.35
Energy above the lowest structure with this stoichiometry, kJ/mol of formula units: 0

---

[10]
This record from the Open Quantum Materials Database describes crystalline HfScB4 at its relaxed geometry. The functional is PBE-GGA.

Cell: 3.1381 3.1381 7.0027 Å, 90.00 90.00 120.00°
Space group P6/mmm (No. 191)
Asymmetric unit:
Hf: 0.0000 0.0000 0.0000
Sc: 0.0000 0.0000 0.5000
B: 0.3333 0.6667 0.2485

Computed properties:
Final energy, eV per atom: -8.109
Calculated density, g cm⁻³: 7.42

---

[11]
This record from the Open Quantum Materials Database describes crystalline HfSc2B at its relaxed geometry. The functional is PBE-GGA.

Cell: 6.5131 6.5131 6.5131 Å, 90.00 90.00 90.00°
Space group F-43m (No. 216)
Asymmetric unit:
Hf: 0.0000 0.0000 0.0000
Sc: 0.0000 0.0000 0.5000
Sc: 0.2500 0.2500 0.2500
B: 0.2500 0.2500 0.7500

Computed properties:
Final energy, eV per atom: -6.785
Calculated density, g cm⁻³: 6.71

---

[12]
This record from the Open Quantum Materials Database describes crystalline HfScB at its relaxed geometry. The functional is PBE-GGA.

Cell: 5.8687 5.8687 5.8687 Å, 90.00 90.00 90.00°
Space group F-43m (No. 216)
Asymmetric unit:
Hf: 0.0000 0.0000 0.0000
Sc: 0.0000 0.0000 0.5000
B: 0.2500 0.2500 0.2500

Computed properties:
Calculated density, g cm⁻³: 7.70
Energy above the lowest structure with this stoichiometry, kJ/mol of formula units: 0

---

[13]
This record from the Open Quantum Materials Database describes crystalline HfScB2 at its relaxed geometry. The functional is PBE-GGA.

Cell: 5.9850 5.9850 5.9850 Å, 90.00 90.00 90.00°
Space group F-43m (No. 216)
Asymmetric unit:
Hf: 0.0000 0.0000 0.0000
Sc: 0.2500 0.2500 0.7500
B: 0.0000 0.0000 0.5000
B: 0.2500 0.2500 0.2500

Computed properties:
Final energy, eV per atom: -6.184
Calculated density, g cm⁻³: 7.59

---

[14]
This record from the Open Quantum Materials Database describes crystalline Hf2ScB at its relaxed geometry. The functional is PBE-GGA.

Cell: 6.5518 6.5518 6.5518 Å, 90.00 90.00 90.00°
Space group F-43m (No. 216)
Asymmetric unit:
Hf: 0.0000 0.0000 0.0000
Hf: 0.2500 0.2500 0.2500
Sc: 0.2500 0.2500 0.7500
B: 0.0000 0.0000 0.5000

Computed properties:
Final energy, eV per atom: -7.631
Calculated density, g cm⁻³: 9.75

---

[15]
This record from the Open Quantum Materials Database describes crystalline HfSiB4 at its relaxed geometry. The functional is PBE-GGA.

Cell: 3.0571 3.0571 7.1521 Å, 90.00 90.00 120.00°
Space group P6/mmm (No. 191)
Asymmetric unit:
Hf: 0.0000 0.0000 0.0000
Si: 0.0000 0.0000 0.5000
B: 0.3333 0.6667 0.2525

Computed properties:
Calculated density, g cm⁻³: 7.17
Energy above the lowest structure with this stoichiometry, kJ/mol of formula units: 0

---

[16]
This record from the Open Quantum Materials Database describes crystalline Hf3SiB2 at its relaxed geometry. The functional is PBE-GGA.

Cell: 3.3788 3.3788 19.2167 Å, 90.00 90.00 120.00°
Space group P6_3/mmc (No. 194)
Asymmetric unit:
Hf: 0.0000 0.0000 0.0000
Hf: 0.3333 0.6667 0.1438
Si: 0.0000 0.0000 0.2500
B: 0.3333 0.6667 0.5749

Computed properties:
Final energy, eV per atom: -8.602
Calculated density, g cm⁻³: 10.23

---

[17]
This record from the Open Quantum Materials Database describes crystalline HfSiB2 at its relaxed geometry. The functional is PBE-GGA.

Cell: 5.9120 5.9120 5.9120 Å, 90.00 90.00 90.00°
Space group F-43m (No. 216)
Asymmetric unit:
Hf: 0.0000 0.0000 0.0000
Si: 0.2500 0.2500 0.7500
B: 0.0000 0.0000 0.5000
B: 0.2500 0.2500 0.2500

Computed properties:
Final energy, eV per atom: -5.962
Calculated density, g cm⁻³: 7.34

---

[18]
This record from the Open Quantum Materials Database describes crystalline HfSi2B at its relaxed geometry. The functional is PBE-GGA.

Cell: 6.1528 6.1528 6.1528 Å, 90.00 90.00 90.00°
Space group F-43m (No. 216)
Asymmetric unit:
Hf: 0.0000 0.0000 0.0000
Si: 0.0000 0.0000 0.5000
Si: 0.2500 0.2500 0.2500
B: 0.2500 0.2500 0.7500

Computed properties:
Final energy, eV per atom: -6.185
Calculated density, g cm⁻³: 7.00

---

[19]
This record from the Open Quantum Materials Database describes crystalline Hf3SiB4 at its relaxed geometry. The functional is PBE-GGA.

Cell: 3.1420 3.5624 8.3716 Å, 90.00 90.00 90.00°
Space group Pmmm (No. 47)
Asymmetric unit:
Hf: 0.0000 0.0000 0.0000
Hf: 0.5000 0.0000 0.3177
Si: 0.0000 0.5000 0.5000
B: 0.0000 0.5000 0.2156
B: 0.5000 0.5000 0.1107

Computed properties:
Final energy, eV per atom: -8.501
Calculated density, g cm⁻³: 10.75

---

[20]
This record from the Open Quantum Materials Database describes crystalline HfSiB4 at its relaxed geometry. The functional is PBE-GGA.

Cell: 3.0342 5.2158 7.2523 Å, 90.00 90.00 90.00°
Space group Immm (No. 71)
Asymmetric unit:
Hf: 0.0000 0.0000 0.0000
Si: 0.0000 0.0000 0.5000
B: 0.0000 0.3339 0.2474

Computed properties:
Calculated density, g cm⁻³: 7.23
Energy above the lowest structure with this stoichiometry, kJ/mol of formula units: 18